Rb3HfS4 after structural relaxation. Source: Alexandria, functional GGA-PBE.

The value obtained for the uncorrected energy is -73.74 eV per cell. Its uncorrected formation energy is -938 meV/atom.

The space group is I4/mmm (No. 139) and the conventional cell measures 8.022, 8.022 and 8.958 Å, with angles of 90.00, 90.00 and 90.00 degrees. The inequivalent atoms are Rb at (0.000, 0.000, 0.000), Rb at (0.000, 0.500, 0.250), Hf at (0.000, 0.000, 0.500) and S at (0.214, 0.214, 0.500).

RbHf2S after structural relaxation. Source: Alexandria, functional GGA-PBE.

The value obtained for the uncorrected energy is -90.51 eV per cell. Its uncorrected formation energy is 594 meV/atom.

The space group is I-42d (No. 122) and the conventional cell measures 7.716, 7.716 and 10.915 Å, with angles of 90.00, 90.00 and 90.00 degrees. The inequivalent atoms are Rb at (0.000, 0.000, 0.000), Hf at (0.002, 0.750, 0.625) and S at (0.000, 0.000, 0.500).

RbHfS2 after structural relaxation. Source: Alexandria, functional GGA-PBE.

The value obtained for the uncorrected energy is -74.40 eV per cell. Its uncorrected formation energy is -1406 meV/atom.

The space group is R3m (No. 160, hexagonal axes) and the conventional cell measures 3.7245, 3.7245 and 23.5396 Å, with angles of 90.00, 90.00 and 120.00 degrees. The inequivalent atoms are Rb at (0.0000, 0.0000, 0.0000), Hf at (0.0000, 0.0000, 0.8298), S at (0.0000, 0.0000, 0.2263) and S at (0.0000, 0.0000, 0.4341).

Rb2Hf2S5 after structural relaxation. Source: Alexandria, functional GGA-PBE.

The value obtained for the uncorrected energy is -111.01 eV per cell. Its uncorrected formation energy is -1447 meV/atom.

The space group is C2/m (No. 12) and the conventional cell measures 14.283, 4.962 and 8.316 Å, with angles of 90.00, 100.83 and 90.00 degrees. The inequivalent atoms are Rb at (0.091, 0.000, 0.336), Hf at (0.152, 0.500, 0.902), S at (0.000, 0.500, 0.000), S at (0.128, 0.500, 0.621) and S at (0.172, 0.000, 0.975).

Rb6HfS4 after structural relaxation. Source: Alexandria, functional GGA-PBE.

The value obtained for the uncorrected energy is -88.09 eV per cell. Its uncorrected formation energy is -1071 meV/atom.

The space group is P6_3mc (No. 186) and the conventional cell measures 11.2137, 11.2137 and 8.1407 Å, with angles of 90.00, 90.00 and 120.00 degrees. The inequivalent atoms are Rb at (0.0724, 0.5362, 0.0000), Rb at (0.1303, 0.2607, 0.6694), Hf at (0.3333, 0.6667, 0.4108), S at (0.2173, 0.4345, 0.3062) and S at (0.3333, 0.6667, 0.7084).

RbHf4S8 after structural relaxation. Source: Alexandria, functional GGA-PBE.

The value obtained for the distance to the lowest polymorph of the same formula is 226.5 meV/atom. The value obtained for the uncorrected energy is -368.22 eV per cell. Its uncorrected formation energy is -1404 meV/atom.

The space group is F-43m (No. 216) and the conventional cell measures 11.009, 11.009 and 11.009 Å, with angles of 90.00, 90.00 and 90.00 degrees. The inequivalent atoms are Rb at (0.000, 0.000, 0.000), Hf at (0.121, 0.121, 0.621), S at (0.114, 0.114, 0.386) and S at (0.147, 0.147, 0.853).

RbHf3S after structural relaxation. Source: Alexandria, functional GGA-PBE.

The value obtained for the distance to the lowest polymorph of the same formula is 2125.2 meV/atom. The value obtained for the uncorrected energy is -22.49 eV per cell. Its uncorrected formation energy is 2493 meV/atom.

The space group is Pm-3m (No. 221) and the conventional cell measures 5.085, 5.085 and 5.085 Å, with angles of 90.00, 90.00 and 90.00 degrees. The inequivalent atoms are Rb at (0.000, 0.000, 0.000), Hf at (0.000, 0.000, 0.500) and S at (0.500, 0.500, 0.500).

Rb3HfS3 after structural relaxation. Source: Alexandria, functional GGA-PBE.

The value obtained for the uncorrected energy is -136.36 eV per cell. Its uncorrected formation energy is -1264 meV/atom.

The space group is P2_1/c (No. 14) and the conventional cell measures 8.114, 13.718 and 10.630 Å, with angles of 90.00, 125.89 and 90.00 degrees. The inequivalent atoms are Rb at (0.102, 0.137, 0.483), Rb at (0.132, 0.077, 0.890), Rb at (0.359, 0.682, 0.554), Hf at (0.441, 0.057, 0.342), S at (0.157, 0.169, 0.197), S at (0.347, 0.607, 0.881) and S at (0.368, 0.543, 0.264).

RbHfS2 after structural relaxation. Source: Alexandria, functional GGA-PBE.

The value obtained for the uncorrected energy is -95.18 eV per cell. Its uncorrected formation energy is -1155 meV/atom.

The space group is I-42d (No. 122) and the conventional cell measures 7.538, 7.538 and 8.782 Å, with angles of 90.00, 90.00 and 90.00 degrees. The inequivalent atoms are Rb at (0.000, 0.000, 0.000), Hf at (0.000, 0.000, 0.500) and S at (0.148, 0.750, 0.625).

RbHfS2 after structural relaxation. Source: Alexandria, functional GGA-PBE.

The value obtained for the uncorrected energy is -84.26 eV per cell. Its uncorrected formation energy is -472 meV/atom.

The space group is Fm-3m (No. 225) and the conventional cell measures 6.920, 6.920 and 6.920 Å, with angles of 90.00, 90.00 and 90.00 degrees. The inequivalent atoms are Rb at (0.000, 0.000, 0.000), Hf at (0.000, 0.000, 0.500) and S at (0.250, 0.250, 0.250).

Rb2Hf2S after structural relaxation. Source: Alexandria, functional GGA-PBE.

The value obtained for the distance to the lowest polymorph of the same formula is 859.0 meV/atom. The value obtained for the uncorrected energy is -39.46 eV per cell. Its uncorrected formation energy is 1248 meV/atom.

The space group is P4/mbm (No. 127) and the conventional cell measures 11.219, 11.219 and 3.168 Å, with angles of 90.00, 90.00 and 90.00 degrees. The inequivalent atoms are Rb at (0.210, 0.290, 0.000), Hf at (0.080, 0.580, 0.500) and S at (0.000, 0.000, 0.000).

Rb2Hf2S after structural relaxation. Source: Alexandria, functional GGA-PBE.

The value obtained for the distance to the lowest polymorph of the same formula is 0.0 meV/atom. The value obtained for the uncorrected energy is -48.05 eV per cell. Its uncorrected formation energy is 389 meV/atom.

The space group is I4/mmm (No. 139) and the conventional cell measures 3.960, 3.960 and 23.564 Å, with angles of 90.00, 90.00 and 90.00 degrees. The inequivalent atoms are Rb at (0.000, 0.000, 0.078), Hf at (0.000, 0.500, 0.250) and S at (0.000, 0.000, 0.500).

RbHf3S after structural relaxation. Source: Alexandria, functional GGA-PBE.

The value obtained for the distance to the lowest polymorph of the same formula is 0.0 meV/atom. The value obtained for the uncorrected energy is -33.12 eV per cell. Its uncorrected formation energy is 368 meV/atom.

The space group is Pm-3m (No. 221) and the conventional cell measures 4.994, 4.994 and 4.994 Å, with angles of 90.00, 90.00 and 90.00 degrees. The inequivalent atoms are Rb at (0.000, 0.000, 0.000), Hf at (0.000, 0.500, 0.500) and S at (0.500, 0.500, 0.500).

RbHfS2 after structural relaxation. Source: Alexandria, functional GGA-PBE.

The value obtained for the uncorrected energy is -49.19 eV per cell. Its uncorrected formation energy is -1355 meV/atom.

The space group is P2_1/m (No. 11) and the conventional cell measures 7.145, 3.634 and 8.816 Å, with angles of 90.00, 105.46 and 90.00 degrees. The inequivalent atoms are Rb at (0.191, 0.250, 0.324), Hf at (0.376, 0.250, 0.858), S at (0.264, 0.750, 0.020) and S at (0.296, 0.750, 0.648).

Rb3Hf5S12 after structural relaxation. Source: Alexandria, functional GGA-PBE.

The value obtained for the uncorrected energy is -1028.08 eV per cell. Its uncorrected formation energy is -1316 meV/atom.

The space group is Ia-3d (No. 230) and the conventional cell measures 16.526, 16.526 and 16.526 Å, with angles of 90.00, 90.00 and 90.00 degrees. The inequivalent atoms are Rb at (0.000, 0.250, 0.125), Hf at (0.000, 0.000, 0.000), Hf at (0.000, 0.250, 0.375) and S at (0.038, 0.045, 0.643).

Rb2HfS after structural relaxation. Source: Alexandria, functional GGA-PBE.

The value obtained for the uncorrected energy is -64.29 eV per cell. Its uncorrected formation energy is -14 meV/atom.

The space group is I-42d (No. 122) and the conventional cell measures 12.959, 12.959 and 4.870 Å, with angles of 90.00, 90.00 and 90.00 degrees. The inequivalent atoms are Rb at (0.083, 0.250, 0.125), Hf at (0.000, 0.000, 0.500) and S at (0.000, 0.000, 0.000).

Rb2HfSbS4 after structural relaxation. Source: Alexandria, functional GGA-PBE.

The value obtained for the uncorrected energy is -320.05 eV per cell. Its uncorrected formation energy is -936 meV/atom.

The space group is Fddd (No. 70, origin choice 2) and the conventional cell measures 7.126, 13.970 and 23.231 Å, with angles of 90.00, 90.00 and 90.00 degrees. The inequivalent atoms are Rb at (0.125, 0.125, 0.310), Hf at (0.125, 0.125, 0.125), Sb at (0.125, 0.125, 0.625) and S at (0.081, 0.285, 0.435).

RbHfScS2 after structural relaxation. Source: Alexandria, functional GGA-PBE.

The value obtained for the uncorrected energy is -24.55 eV per cell. Its uncorrected formation energy is 191 meV/atom.

The space group is P4/mmm (No. 123) and the conventional cell measures 4.990, 4.990 and 6.332 Å, with angles of 90.00, 90.00 and 90.00 degrees. The inequivalent atoms are Rb at (0.000, 0.000, 0.000), Hf at (0.000, 0.000, 0.500), Sc at (0.500, 0.500, 0.000) and S at (0.000, 0.500, 0.500).

Rb2HfSc2S6 after structural relaxation. Source: Alexandria, functional GGA-PBE.

The value obtained for the uncorrected energy is -136.83 eV per cell. Its uncorrected formation energy is -1736 meV/atom.

The space group is C2/m (No. 12) and the conventional cell measures 6.521, 11.280 and 8.152 Å, with angles of 90.00, 105.73 and 90.00 degrees. The inequivalent atoms are Rb at (0.000, 0.168, 0.000), Hf at (0.000, 0.000, 0.500), Sc at (0.000, 0.333, 0.500), S at (0.226, 0.164, 0.681) and S at (0.233, 0.500, 0.680).